A geometry-optimized Mg2TlCdO4 structure. Source: Alexandria via LeMat-Bulk, functional GGA-PBE.

Results
total DFT energy (no corrections) = -4.921 eV/atom
raw formation energy = -1.63 eV per atom
ρ = 5860 kg/m3

```
Mg2TlCdO4
1.0
4.916 0.000 0.000
0.000 4.916 0.000
0.000 0.000 10.070
Mg Tl Cd O
4 2 2 8
Direct
0.000 0.500 0.250
0.000 0.500 0.750
0.500 0.000 0.250
0.500 0.000 0.750
0.000 0.000 0.000
0.500 0.500 0.500
0.000 0.000 0.500
0.500 0.500 0.000
0.242 0.242 0.647
0.242 0.758 0.353
0.258 0.258 0.147
0.258 0.742 0.853
0.742 0.258 0.853
0.742 0.742 0.147
0.758 0.242 0.353
0.758 0.758 0.647
```


A geometry-optimized AcHfIr4 structure. Source: Alexandria via LeMat-Bulk, functional GGA-PBE.

Results
total DFT energy (no corrections) = -8.701 eV/atom
DFT formation energy = -0.45 eV per atom
ρ = 17427 kg/m3

```
AcHfIr4
1.0
0.000 3.825 3.825
3.825 0.000 3.825
3.825 3.825 0.000
Ac Hf Ir
1 1 4
Direct
0.000 0.000 0.000
0.250 0.250 0.250
0.127 0.624 0.624
0.624 0.127 0.624
0.624 0.624 0.127
0.624 0.624 0.624
```